No. 1
# NaAcHo2, optimized geometry, DFT PBE
# * crystal system: trigonal
# * theoretical density: 6.51 g/cm³
# * DFT total energy: -3.40 eV per atom
data_NaAcHo2
_chemical_formula_sum 'Na3 Ac3 Ho6'
_cell_length_a 3.6374
_cell_length_b 3.6374
_cell_length_c 38.7489
_cell_angle_alpha 90.00
_cell_angle_beta 90.00
_cell_angle_gamma 120.00
_symmetry_space_group_name_H-M 'R -3 m'
_symmetry_Int_Tables_number 166
_symmetry_space_group_name_Hall '-R 3 2"'
loop_
_atom_site_label
_atom_site_type_symbol
_atom_site_fract_x
_atom_site_fract_y
_atom_site_fract_z
Na1 Na 0.0000 0.0000 0.0000
Ac1 Ac 0.0000 0.0000 0.5000
Ho1 Ho 0.0000 0.0000 0.0908

No. 2
# DyPa2Se6, optimized geometry, DFT PBE
# * crystal system: monoclinic
# * excess energy over the best structure of this formula in the dataset: 0.000 eV per formula unit
# * theoretical density: 5.87 g/cm³
data_DyPa2Se6
_chemical_formula_sum 'Dy2 Pa4 Se12'
_cell_length_a 18.1342
_cell_length_b 4.1800
_cell_length_c 8.4424
_cell_angle_alpha 90.00
_cell_angle_beta 103.91
_cell_angle_gamma 90.00
_symmetry_space_group_name_H-M 'C 1 2/m 1'
_symmetry_Int_Tables_number 12
loop_
_symmetry_equiv_pos_as_xyz
'x,y,z'
'-x,-y,-z'
'-x,y,-z'
'x,-y,z'
'x+1/2,y+1/2,z'
'-x+1/2,-y+1/2,-z'
'-x+1/2,y+1/2,-z'
'x+1/2,-y+1/2,z'
loop_
_atom_site_label
_atom_site_type_symbol
_atom_site_fract_x
_atom_site_fract_y
_atom_site_fract_z
Dy1 Dy 0.0000 0.0000 0.0000
Pa1 Pa 0.1646 0.5000 0.3252
Se1 Se 0.0086 0.5000 0.2378
Se2 Se 0.1643 0.0000 0.1004
Se3 Se 0.1730 0.0000 0.5597

No. 3
# TaSe2Br, optimized geometry, DFT PBE
# * crystal system: tetragonal
# * excess energy over the best structure of this formula in the dataset: 2.078 eV per formula unit
# * theoretical density: 5.54 g/cm³
data_TaSe2Br
_chemical_formula_sum 'Ta4 Se8 Br4'
_cell_length_a 7.0148
_cell_length_b 7.0148
_cell_length_c 10.2032
_cell_angle_alpha 90.00
_cell_angle_beta 90.00
_cell_angle_gamma 90.00
_symmetry_space_group_name_H-M 'I -4 2 d'
_symmetry_Int_Tables_number 122
_symmetry_space_group_name_Hall 'I -4 2bw'
loop_
_atom_site_label
_atom_site_type_symbol
_atom_site_fract_x
_atom_site_fract_y
_atom_site_fract_z
Ta1 Ta 0.0000 0.0000 0.0000
Se1 Se 0.1590 0.2500 0.1250
Br1 Br 0.0000 0.0000 0.5000

No. 4
# ScBiPS2, optimized geometry, DFT PBE
# * crystal system: tetragonal
# * excess energy over the best structure of this formula in the dataset: 3.110 eV per formula unit
# * theoretical density: 4.28 g/cm³
data_ScBiPS2
_chemical_formula_sum 'Sc1 Bi1 P1 S2'
_cell_length_a 5.1033
_cell_length_b 5.1033
_cell_length_c 5.1954
_cell_angle_alpha 90.00
_cell_angle_beta 90.00
_cell_angle_gamma 90.00
_symmetry_space_group_name_H-M 'P 4/m m m'
_symmetry_Int_Tables_number 123
_symmetry_space_group_name_Hall '-P 4 2'
loop_
_atom_site_label
_atom_site_type_symbol
_atom_site_fract_x
_atom_site_fract_y
_atom_site_fract_z
Sc1 Sc 0.0000 0.0000 0.0000
Bi1 Bi 0.5000 0.5000 0.5000
P1 P 0.5000 0.5000 0.0000
S1 S 0.0000 0.5000 0.5000

No. 5
# Pa2SiC, optimized geometry, DFT PBE
# * crystal system: trigonal
# * excess energy over the best structure of this formula in the dataset: 0.163 eV per formula unit
# * theoretical density: 10.44 g/cm³
data_Pa2SiC
_chemical_formula_sum 'Pa6 Si3 C3'
_cell_length_a 3.7571
_cell_length_b 3.7571
_cell_length_c 19.6061
_cell_angle_alpha 90.00
_cell_angle_beta 90.00
_cell_angle_gamma 120.00
_symmetry_space_group_name_H-M 'R -3 m'
_symmetry_Int_Tables_number 166
_symmetry_space_group_name_Hall '-R 3 2"'
loop_
_atom_site_label
_atom_site_type_symbol
_atom_site_fract_x
_atom_site_fract_y
_atom_site_fract_z
Pa1 Pa 0.0000 0.0000 0.2368
Si1 Si 0.0000 0.0000 0.0000
C1 C 0.0000 0.0000 0.5000

No. 6
# Sc2TaAg, optimized geometry, DFT PBE
# * crystal system: tetragonal
# * excess energy over the best structure of this formula in the dataset: 0.966 eV per formula unit
# * theoretical density: 7.83 g/cm³
data_Sc2TaAg
_chemical_formula_sum 'Sc2 Ta1 Ag1'
_cell_length_a 4.4926
_cell_length_b 4.4926
_cell_length_c 3.9787
_cell_angle_alpha 90.00
_cell_angle_beta 90.00
_cell_angle_gamma 90.00
_symmetry_space_group_name_H-M 'P 4/m m m'
_symmetry_Int_Tables_number 123
_symmetry_space_group_name_Hall '-P 4 2'
loop_
_atom_site_label
_atom_site_type_symbol
_atom_site_fract_x
_atom_site_fract_y
_atom_site_fract_z
Sc1 Sc 0.0000 0.5000 0.0000
Ta1 Ta 0.0000 0.0000 0.5000
Ag1 Ag 0.5000 0.5000 0.5000

No. 7
# BaNaSn2Hg, optimized geometry, DFT PBE
# * crystal system: tetragonal
# * theoretical density: 6.28 g/cm³
# * DFT total energy: -2.71 eV per atom
data_BaNaSn2Hg
_chemical_formula_sum 'Ba2 Na2 Sn4 Hg2'
_cell_length_a 4.9584
_cell_length_b 4.9584
_cell_length_c 12.8662
_cell_angle_alpha 90.00
_cell_angle_beta 90.00
_cell_angle_gamma 90.00
_symmetry_space_group_name_H-M 'I -4 m 2'
_symmetry_Int_Tables_number 119
_symmetry_space_group_name_Hall 'I -4 -2'
loop_
_atom_site_label
_atom_site_type_symbol
_atom_site_fract_x
_atom_site_fract_y
_atom_site_fract_z
Ba1 Ba 0.0000 0.0000 0.0000
Na1 Na 0.0000 0.5000 0.7500
Sn1 Sn 0.0000 0.0000 0.3895
Hg1 Hg 0.0000 0.5000 0.2500

No. 8
# Ta2IrPd5, optimized geometry, DFT PBE
# * crystal system: orthorhombic
# * theoretical density: 14.46 g/cm³
# * DFT total energy: -7.72 eV per atom
data_Ta2IrPd5
_chemical_formula_sum 'Ta4 Ir2 Pd10'
_cell_length_a 5.6373
_cell_length_b 11.2808
_cell_length_c 3.9218
_cell_angle_alpha 90.00
_cell_angle_beta 90.00
_cell_angle_gamma 90.00
_symmetry_space_group_name_H-M 'P b a m'
_symmetry_Int_Tables_number 55
loop_
_symmetry_equiv_pos_as_xyz
'x,y,z'
'-x,-y,-z'
'-x,-y,z'
'x,y,-z'
'x+1/2,-y+1/2,-z'
'-x+1/2,y+1/2,z'
'-x+1/2,y+1/2,-z'
'x+1/2,-y+1/2,z'
loop_
_atom_site_label
_atom_site_type_symbol
_atom_site_fract_x
_atom_site_fract_y
_atom_site_fract_z
Ta1 Ta 0.2298 0.1197 0.0000
Ir1 Ir 0.0000 0.0000 0.5000
Pd1 Pd 0.0000 0.5000 0.5000
Pd2 Pd 0.0148 0.7506 0.5000
Pd3 Pd 0.2375 0.3728 0.0000

No. 9
# SrSmS, optimized geometry, DFT PBE
# * crystal system: monoclinic
# * theoretical density: 4.66 g/cm³
# * DFT total energy: -4.72 eV per atom
data_SrSmS
_chemical_formula_sum 'Sr4 Sm4 S4'
_cell_length_a 13.5566
_cell_length_b 4.0154
_cell_length_c 7.1666
_cell_angle_alpha 90.00
_cell_angle_beta 99.23
_cell_angle_gamma 90.00
_symmetry_space_group_name_H-M 'C 1 2/m 1'
_symmetry_Int_Tables_number 12
loop_
_symmetry_equiv_pos_as_xyz
'x,y,z'
'-x,-y,-z'
'-x,y,-z'
'x,-y,z'
'x+1/2,y+1/2,z'
'-x+1/2,-y+1/2,-z'
'-x+1/2,y+1/2,-z'
'x+1/2,-y+1/2,z'
loop_
_atom_site_label
_atom_site_type_symbol
_atom_site_fract_x
_atom_site_fract_y
_atom_site_fract_z
Sr1 Sr 0.1207 0.0000 0.3695
Sm1 Sm 0.1293 0.5000 0.8957
S1 S 0.2424 0.0000 0.7570

No. 10
# BaFeHgSb2, optimized geometry, DFT PBE
# * crystal system: tetragonal
# * theoretical density: 6.43 g/cm³
# * DFT total energy: -3.47 eV per atom
data_BaFeHgSb2
_chemical_formula_sum 'Ba1 Fe1 Hg1 Sb2'
_cell_length_a 5.6895
_cell_length_b 5.6895
_cell_length_c 5.0817
_cell_angle_alpha 90.00
_cell_angle_beta 90.00
_cell_angle_gamma 90.00
_symmetry_space_group_name_H-M 'P 4/m m m'
_symmetry_Int_Tables_number 123
_symmetry_space_group_name_Hall '-P 4 2'
loop_
_atom_site_label
_atom_site_type_symbol
_atom_site_fract_x
_atom_site_fract_y
_atom_site_fract_z
Ba1 Ba 0.0000 0.0000 0.0000
Fe1 Fe 0.5000 0.5000 0.0000
Hg1 Hg 0.5000 0.5000 0.5000
Sb1 Sb 0.0000 0.5000 0.5000

No. 11
# HfP3Se, optimized geometry, DFT PBE
# * crystal system: cubic
# * excess energy over the best structure of this formula in the dataset: 0.000 eV per formula unit
# * theoretical density: 4.73 g/cm³
data_HfP3Se
_chemical_formula_sum 'Hf1 P3 Se1'
_cell_length_a 4.9715
_cell_length_b 4.9715
_cell_length_c 4.9715
_cell_angle_alpha 90.00
_cell_angle_beta 90.00
_cell_angle_gamma 90.00
_symmetry_space_group_name_H-M 'P m -3 m'
_symmetry_Int_Tables_number 221
_symmetry_space_group_name_Hall '-P 4 2 3'
loop_
_atom_site_label
_atom_site_type_symbol
_atom_site_fract_x
_atom_site_fract_y
_atom_site_fract_z
Hf1 Hf 0.0000 0.0000 0.0000
P1 P 0.0000 0.0000 0.5000
Se1 Se 0.5000 0.5000 0.5000

No. 12
# SrLi2BiH, optimized geometry, DFT PBE
# * crystal system: orthorhombic
# * excess energy over the best structure of this formula in the dataset: 0.000 eV per formula unit
# * theoretical density: 4.88 g/cm³
data_SrLi2BiH
_chemical_formula_sum 'Sr4 Li8 Bi4 H4'
_cell_length_a 4.7046
_cell_length_b 11.8275
_cell_length_c 7.6138
_cell_angle_alpha 90.00
_cell_angle_beta 90.00
_cell_angle_gamma 90.00
_symmetry_space_group_name_H-M 'C m c m'
_symmetry_Int_Tables_number 63
_symmetry_space_group_name_Hall '-C 2c 2'
loop_
_atom_site_label
_atom_site_type_symbol
_atom_site_fract_x
_atom_site_fract_y
_atom_site_fract_z
Sr1 Sr 0.0000 0.0754 0.2500
Li1 Li 0.0000 0.3494 0.0597
Bi1 Bi 0.0000 0.2071 0.7500
H1 H 0.0000 0.5000 0.0000